(1)
# AlTl2P PBE optimized geometry
# E_form: -0.011 eV/atom
data_AlTl2P
_cell_length_a 3.504
_cell_length_b 3.505
_cell_length_c 8.207
_cell_angle_alpha 90.00
_cell_angle_beta 90.03
_cell_angle_gamma 90.00
_space_group_name_H-M_alt 'P 1'
_space_group_IT_number 1
_space_group_name_Hall 'P 1'
loop_
_atom_site_label
_atom_site_fract_x
_atom_site_fract_y
_atom_site_fract_z
Al1 0.000 0.000 0.000
Tl1 0.501 0.000 0.330
Tl2 0.998 0.500 0.670
P1 0.500 0.500 0.000

---

(2)
# AlTl2P PBE optimized geometry
# E_form: 0.421 eV/atom
data_AlTl2P
_cell_length_a 3.252
_cell_length_b 4.447
_cell_length_c 6.643
_cell_angle_alpha 90.00
_cell_angle_beta 90.00
_cell_angle_gamma 90.00
_space_group_name_H-M_alt 'P 1'
_space_group_IT_number 1
_space_group_name_Hall 'P 1'
loop_
_atom_site_label
_atom_site_fract_x
_atom_site_fract_y
_atom_site_fract_z
Al1 0.000 0.000 0.000
Tl1 0.500 0.500 0.257
Tl2 0.500 0.500 0.743
P1 0.000 0.000 0.500

---

(3)
# AlTl2P PBE optimized geometry
# E_form: 0.428 eV/atom
data_AlTl2P
_cell_length_a 5.145
_cell_length_b 5.145
_cell_length_c 5.145
_cell_angle_alpha 60.00
_cell_angle_beta 60.00
_cell_angle_gamma 60.00
_space_group_name_H-M_alt 'P 1'
_space_group_IT_number 1
_space_group_name_Hall 'P 1'
loop_
_atom_site_label
_atom_site_fract_x
_atom_site_fract_y
_atom_site_fract_z
Al1 0.000 0.000 0.000
Tl1 0.250 0.250 0.250
Tl2 0.750 0.750 0.750
P1 0.500 0.500 0.500

---

(4)
# AlTl2P PBE optimized geometry
# E_form: 0.384 eV/atom
data_AlTl2P
_cell_length_a 4.362
_cell_length_b 4.633
_cell_length_c 4.772
_cell_angle_alpha 90.00
_cell_angle_beta 90.00
_cell_angle_gamma 90.00
_space_group_name_H-M_alt 'P 1'
_space_group_IT_number 1
_space_group_name_Hall 'P 1'
loop_
_atom_site_label
_atom_site_fract_x
_atom_site_fract_y
_atom_site_fract_z
Al1 0.000 0.000 0.000
Tl1 0.000 0.500 0.500
Tl2 0.500 0.000 0.500
P1 0.500 0.500 0.000

---

(5)
# AlTlP2 PBE optimized geometry
# E_form: 0.039 eV/atom
data_AlTlP2
_cell_length_a 3.976
_cell_length_b 3.573
_cell_length_c 6.314
_cell_angle_alpha 90.00
_cell_angle_beta 104.20
_cell_angle_gamma 90.00
_space_group_name_H-M_alt 'P 1'
_space_group_IT_number 1
_space_group_name_Hall 'P 1'
loop_
_atom_site_label
_atom_site_fract_x
_atom_site_fract_y
_atom_site_fract_z
Al1 0.000 0.000 0.000
Tl1 0.000 0.000 0.500
P1 0.421 0.500 0.156
P2 0.579 0.500 0.844

---

(6)
# AlTlP2 PBE optimized geometry
# E_form: 0.107 eV/atom
data_AlTlP2
_cell_length_a 3.620
_cell_length_b 3.620
_cell_length_c 6.450
_cell_angle_alpha 90.00
_cell_angle_beta 90.00
_cell_angle_gamma 90.00
_space_group_name_H-M_alt 'P 1'
_space_group_IT_number 1
_space_group_name_Hall 'P 1'
loop_
_atom_site_label
_atom_site_fract_x
_atom_site_fract_y
_atom_site_fract_z
Al1 0.000 0.000 0.000
Tl1 0.500 0.500 0.515
P1 0.000 0.000 0.371
P2 0.500 0.500 0.923

---

(7)
# AlTlP2 PBE optimized geometry
# E_form: 0.338 eV/atom
data_AlTlP2
_cell_length_a 4.700
_cell_length_b 4.700
_cell_length_c 4.700
_cell_angle_alpha 110.66
_cell_angle_beta 110.66
_cell_angle_gamma 107.12
_space_group_name_H-M_alt 'P 1'
_space_group_IT_number 1
_space_group_name_Hall 'P 1'
loop_
_atom_site_label
_atom_site_fract_x
_atom_site_fract_y
_atom_site_fract_z
Al1 0.000 0.000 0.000
Tl1 0.500 0.500 0.000
P1 0.000 0.500 0.500
P2 0.500 0.000 0.500

---

(8)
# Al3TlP PBE optimized geometry
# E_form: 0.352 eV/atom
data_Al3TlP
_cell_length_a 4.796
_cell_length_b 4.796
_cell_length_c 4.796
_cell_angle_alpha 90.00
_cell_angle_beta 90.00
_cell_angle_gamma 90.00
_space_group_name_H-M_alt 'P 1'
_space_group_IT_number 1
_space_group_name_Hall 'P 1'
loop_
_atom_site_label
_atom_site_fract_x
_atom_site_fract_y
_atom_site_fract_z
Al1 0.000 0.000 0.500
Al2 0.000 0.500 0.000
Al3 0.500 0.000 0.000
Tl1 0.500 0.500 0.500
P1 0.000 0.000 0.000

---

(9)
# Al2TlP PBE optimized geometry
# E_form: 0.037 eV/atom
data_Al2TlP
_cell_length_a 7.541
_cell_length_b 7.541
_cell_length_c 7.541
_cell_angle_alpha 153.76
_cell_angle_beta 153.37
_cell_angle_gamma 37.73
_space_group_name_H-M_alt 'P 1'
_space_group_IT_number 1
_space_group_name_Hall 'P 1'
loop_
_atom_site_label
_atom_site_fract_x
_atom_site_fract_y
_atom_site_fract_z
Al1 0.000 0.000 0.000
Al2 0.671 0.171 0.500
Tl1 0.355 0.355 0.000
P1 0.127 0.627 0.500

---

(10)
# AlTlP4 PBE optimized geometry
# E_form: 0.585 eV/atom
data_AlTlP4
_cell_length_a 4.681
_cell_length_b 4.681
_cell_length_c 6.994
_cell_angle_alpha 90.00
_cell_angle_beta 90.00
_cell_angle_gamma 90.00
_space_group_name_H-M_alt 'P 1'
_space_group_IT_number 1
_space_group_name_Hall 'P 1'
loop_
_atom_site_label
_atom_site_fract_x
_atom_site_fract_y
_atom_site_fract_z
Al1 0.000 0.000 0.000
Tl1 0.500 0.500 0.500
P1 0.000 0.000 0.359
P2 0.000 0.000 0.641
P3 0.000 0.500 0.000
P4 0.500 0.000 0.000

---

(11)
# AlTlP4 PBE optimized geometry
# E_form: 0.443 eV/atom
data_AlTlP4
_cell_length_a 5.750
_cell_length_b 5.750
_cell_length_c 5.750
_cell_angle_alpha 60.00
_cell_angle_beta 60.00
_cell_angle_gamma 60.00
_space_group_name_H-M_alt 'P 1'
_space_group_IT_number 1
_space_group_name_Hall 'P 1'
loop_
_atom_site_label
_atom_site_fract_x
_atom_site_fract_y
_atom_site_fract_z
Al1 0.000 0.000 0.000
Tl1 0.250 0.250 0.250
P1 0.048 0.651 0.651
P2 0.651 0.048 0.651
P3 0.651 0.651 0.048
P4 0.651 0.651 0.651

---

(12)
# AlTl2P PBE optimized geometry
# E_form: 0.081 eV/atom
data_AlTl2P
_cell_length_a 7.405
_cell_length_b 7.405
_cell_length_c 7.405
_cell_angle_alpha 150.64
_cell_angle_beta 146.61
_cell_angle_gamma 45.05
_space_group_name_H-M_alt 'P 1'
_space_group_IT_number 1
_space_group_name_Hall 'P 1'
loop_
_atom_site_label
_atom_site_fract_x
_atom_site_fract_y
_atom_site_fract_z
Al1 0.000 0.000 0.000
Tl1 0.411 0.411 0.000
Tl2 0.707 0.207 0.500
P1 0.105 0.605 0.500

---

(13)
# AlTl2P PBE optimized geometry
# E_form: 0.417 eV/atom
data_AlTl2P
_cell_length_a 3.229
_cell_length_b 4.512
_cell_length_c 6.741
_cell_angle_alpha 90.00
_cell_angle_beta 102.27
_cell_angle_gamma 90.00
_space_group_name_H-M_alt 'P 1'
_space_group_IT_number 1
_space_group_name_Hall 'P 1'
loop_
_atom_site_label
_atom_site_fract_x
_atom_site_fract_y
_atom_site_fract_z
Al1 0.000 0.000 0.000
Tl1 0.473 0.500 0.744
Tl2 0.527 0.500 0.256
P1 0.000 0.000 0.500

---

(14)
# AlTl2P PBE optimized geometry
# E_form: 0.025 eV/atom
data_AlTl2P
_cell_length_a 3.469
_cell_length_b 3.469
_cell_length_c 8.171
_cell_angle_alpha 90.00
_cell_angle_beta 90.00
_cell_angle_gamma 90.00
_space_group_name_H-M_alt 'P 1'
_space_group_IT_number 1
_space_group_name_Hall 'P 1'
loop_
_atom_site_label
_atom_site_fract_x
_atom_site_fract_y
_atom_site_fract_z
Al1 0.000 0.000 0.000
Tl1 0.000 0.000 0.375
Tl2 0.500 0.500 0.690
P1 0.500 0.500 0.049

---

(15)
# AlTl2P PBE optimized geometry
# E_form: 0.477 eV/atom
data_AlTl2P
_cell_length_a 10.752
_cell_length_b 10.752
_cell_length_c 10.752
_cell_angle_alpha 17.30
_cell_angle_beta 17.30
_cell_angle_gamma 17.30
_space_group_name_H-M_alt 'P 1'
_space_group_IT_number 1
_space_group_name_Hall 'P 1'
loop_
_atom_site_label
_atom_site_fract_x
_atom_site_fract_y
_atom_site_fract_z
Al1 0.000 0.000 0.000
Tl1 0.246 0.246 0.246
Tl2 0.754 0.754 0.754
P1 0.500 0.500 0.500

---

no.,size of the total moment (μB/cell),energy (eV per atom)
1,0.00,-3.48
2,0.00,-3.05
3,0.00,-3.04
4,0.00,-3.09
5,0.00,-4.19
6,0.00,-4.13
7,0.00,-3.89
8,0.00,-3.45
9,0.00,-3.78
10,0.00,-4.04
11,0.00,-4.18
12,0.00,-3.39
13,0.00,-3.05
14,0.00,-3.45
15,0.00,-2.99